Entry from the Alexandria database: a geometry-optimized Sc3InAg structure (GGA-PBE).

Computed properties:
M_tot: 0.000 μB/atom
E_form: 240 meV/atom
Polymorph energy (0 for the lowest one): 247 kJ/mol of formula units
Uncorrected energy: -4.6771 eV per atom

POSCAR file:
```
Sc3InAg
1.0
5.149 0.000 0.000
0.000 5.149 0.000
0.000 0.000 5.149
Sc In Ag
3 1 1
Direct
0.000 0.000 0.500 Sc
0.000 0.500 0.000 Sc
0.500 0.000 0.000 Sc
0.500 0.500 0.500 In
0.000 0.000 0.000 Ag
```


Entry from the Alexandria database: a geometry-optimized SrPbAu2 structure (GGA-PBE).

Computed properties:
M_tot: 0.000 μB/atom
E_form: -518 meV/atom
Uncorrected energy: -3.5044 eV per atom

POSCAR file:
```
SrPbAu2
1.0
8.149 0.000 0.000
0.000 4.965 0.000
0.000 0.000 10.452
Sr Pb Au
4 4 8
Direct
0.178 0.250 0.173 Sr
0.322 0.750 0.673 Sr
0.678 0.250 0.327 Sr
0.822 0.750 0.827 Sr
0.033 0.750 0.408 Pb
0.467 0.250 0.908 Pb
0.533 0.750 0.092 Pb
0.967 0.250 0.592 Pb
0.101 0.250 0.848 Au
0.185 0.750 0.967 Au
0.315 0.250 0.467 Au
0.399 0.750 0.348 Au
0.601 0.250 0.652 Au
0.685 0.750 0.533 Au
0.815 0.250 0.033 Au
0.899 0.750 0.152 Au
```


Entry from the Alexandria database: a geometry-optimized CuMoOs3 structure (GGA-PBE).

Computed properties:
M_tot: 0.000 μB/atom
E_form: 1946 meV/atom
Polymorph energy (0 for the lowest one): 0 kJ/mol of formula units
Uncorrected energy: -7.7778 eV per atom

POSCAR file:
```
CuMoOs3
1.0
4.370 0.000 0.000
0.000 4.370 0.000
0.000 0.000 4.370
Cu Mo Os
1 1 3
Direct
0.000 0.000 0.000 Cu
0.500 0.500 0.500 Mo
0.000 0.000 0.500 Os
0.000 0.500 0.000 Os
0.500 0.000 0.000 Os
```


Entry from the Alexandria database: a geometry-optimized PmNd3HoSc structure (GGA-PBE).

Computed properties:
M_tot: 0.000 μB/atom
E_form: 37 meV/atom
Uncorrected energy: -4.9573 eV per atom

POSCAR file:
```
PmNd3HoSc
1.0
2.512 -7.604 0.000
2.512 7.604 0.000
0.000 0.000 10.182
Pm Nd Ho Sc
2 6 2 2
Direct
0.005 0.995 0.750 Pm
0.995 0.005 0.250 Pm
0.166 0.834 0.502 Nd
0.166 0.834 0.998 Nd
0.331 0.669 0.750 Nd
0.669 0.331 0.250 Nd
0.834 0.166 0.002 Nd
0.834 0.166 0.498 Nd
0.500 0.500 0.000 Ho
0.500 0.500 0.500 Ho
0.334 0.666 0.250 Sc
0.666 0.334 0.750 Sc
```


Entry from the Alexandria database: a geometry-optimized SrAsCl structure (GGA-PBE).

Computed properties:
M_tot: 0.667 μB/atom
Polymorph energy (0 for the lowest one): 66 kJ/mol of formula units
Uncorrected energy: -3.5120 eV per atom
Uncorrected formation energy: -0.786 eV per atom

POSCAR file:
```
SrAsCl
1.0
0.000 3.682 3.682
3.682 0.000 3.682
3.682 3.682 0.000
Sr As Cl
1 1 1
Direct
0.000 0.000 0.000 Sr
0.750 0.750 0.750 As
0.250 0.250 0.250 Cl
```


Entry from the Alexandria database: a geometry-optimized La2Ni3Sn4Ru structure (GGA-PBE).

Computed properties:
M_tot: 0.000 μB/atom
E_form: -518 meV/atom
Uncorrected energy: -5.7669 eV per atom

POSCAR file:
```
La2Ni3Sn4Ru
1.0
4.457 0.000 0.000
0.000 4.457 0.000
0.000 0.000 10.581
La Ni Sn Ru
2 3 4 1
Direct
0.000 0.500 0.248 La
0.500 0.000 0.752 La
0.000 0.000 0.000 Ni
0.000 0.500 0.628 Ni
0.500 0.000 0.372 Ni
0.000 0.000 0.500 Sn
0.000 0.500 0.868 Sn
0.500 0.000 0.132 Sn
0.500 0.500 0.500 Sn
0.500 0.500 0.000 Ru
```


Entry from the Alexandria database: a geometry-optimized U2TcPb structure (GGA-PBE).

Computed properties:
M_tot: 0.692 μB/atom
E_form: 247 meV/atom
Polymorph energy (0 for the lowest one): 12 kJ/mol of formula units
Uncorrected energy: -8.9161 eV per atom

POSCAR file:
```
U2TcPb
1.0
1.567 0.905 10.250
-1.567 0.905 10.250
0.000 -1.809 10.250
U Tc Pb
2 1 1
Direct
0.238 0.238 0.238 U
0.762 0.762 0.762 U
0.500 0.500 0.500 Tc
0.000 0.000 0.000 Pb
```


Entry from the Alexandria database: a geometry-optimized Pa2Mn17 structure (GGA-PBE).

Computed properties:
M_tot: 0.309 μB/atom
E_form: -13 meV/atom
Uncorrected energy: -9.2165 eV per atom

POSCAR file:
```
Pa2Mn17
1.0
4.296 2.480 3.856
-4.296 2.480 3.856
0.000 -4.960 3.856
Pa Mn
2 17
Direct
0.147 0.147 0.147 Pa
0.853 0.853 0.853 Pa
0.000 0.500 0.500 Mn
0.140 0.140 0.629 Mn
0.140 0.629 0.140 Mn
0.228 0.500 0.772 Mn
0.228 0.772 0.500 Mn
0.371 0.860 0.860 Mn
0.396 0.396 0.396 Mn
0.500 0.000 0.500 Mn
0.500 0.228 0.772 Mn
0.500 0.500 0.000 Mn
0.500 0.772 0.228 Mn
0.604 0.604 0.604 Mn
0.629 0.140 0.140 Mn
0.772 0.228 0.500 Mn
0.772 0.500 0.228 Mn
0.860 0.371 0.860 Mn
0.860 0.860 0.371 Mn
```


Entry from the Alexandria database: a geometry-optimized U2Pd13 structure (GGA-PBE).

Computed properties:
M_tot: 0.144 μB/atom
E_form: 61 meV/atom
Polymorph energy (0 for the lowest one): 366 kJ/mol of formula units
Uncorrected energy: -5.9443 eV per atom

POSCAR file:
```
U2Pd13
1.0
3.634 2.098 6.821
-3.634 2.098 6.821
0.000 -4.196 6.821
U Pd
2 13
Direct
0.242 0.242 0.242 U
0.758 0.758 0.758 U
0.114 0.740 0.740 Pd
0.132 0.524 0.524 Pd
0.260 0.260 0.886 Pd
0.260 0.886 0.260 Pd
0.476 0.476 0.868 Pd
0.476 0.868 0.476 Pd
0.500 0.500 0.500 Pd
0.524 0.132 0.524 Pd
0.524 0.524 0.132 Pd
0.740 0.114 0.740 Pd
0.740 0.740 0.114 Pd
0.868 0.476 0.476 Pd
0.886 0.260 0.260 Pd
```


Entry from the Alexandria database: a geometry-optimized PmPr2HoS6 structure (GGA-PBE).

Computed properties:
M_tot: 0.000 μB/atom
Uncorrected energy: -6.3863 eV per atom
Uncorrected formation energy: -2.021 eV per atom

POSCAR file:
```
PmPr2HoS6
1.0
3.569 2.061 6.257
-3.569 2.061 6.257
0.000 -4.122 6.257
Pm Pr Ho S
1 2 1 6
Direct
0.000 0.000 0.000 Pm
0.207 0.207 0.207 Pr
0.710 0.710 0.710 Pr
0.503 0.503 0.503 Ho
0.124 0.390 0.790 S
0.302 0.886 0.612 S
0.390 0.790 0.124 S
0.612 0.302 0.886 S
0.790 0.124 0.390 S
0.886 0.612 0.302 S
```


Entry from the Alexandria database: a geometry-optimized LaIn4Au2 structure (GGA-PBE).

Computed properties:
M_tot: 0.000 μB/atom
E_form: -462 meV/atom
Polymorph energy (0 for the lowest one): 0 kJ/mol of formula units
Uncorrected energy: -3.6669 eV per atom

POSCAR file:
```
LaIn4Au2
1.0
18.832 0.000 0.000
0.000 4.752 0.000
0.000 0.000 7.531
La In Au
4 16 8
Direct
0.141 0.250 0.022 La
0.359 0.750 0.522 La
0.641 0.250 0.478 La
0.859 0.750 0.978 La
0.035 0.750 0.854 In
0.068 0.250 0.486 In
0.184 0.750 0.324 In
0.188 0.750 0.730 In
0.312 0.250 0.230 In
0.316 0.250 0.824 In
0.432 0.750 0.986 In
0.465 0.250 0.354 In
0.535 0.750 0.646 In
0.568 0.250 0.014 In
0.684 0.750 0.176 In
0.688 0.750 0.770 In
0.812 0.250 0.270 In
0.816 0.250 0.676 In
0.932 0.750 0.514 In
0.965 0.250 0.146 In
0.038 0.750 0.242 Au
0.218 0.250 0.530 Au
0.282 0.750 0.030 Au
0.462 0.250 0.742 Au
0.538 0.750 0.258 Au
0.718 0.250 0.970 Au
0.782 0.750 0.470 Au
0.962 0.250 0.758 Au
```


Entry from the Alexandria database: a geometry-optimized PuScSi2 structure (GGA-PBE).

Computed properties:
M_tot: 1.468 μB/atom
Polymorph energy (0 for the lowest one): 0 kJ/mol of formula units
Uncorrected energy: -8.4582 eV per atom
Uncorrected formation energy: -0.581 eV per atom

POSCAR file:
```
PuScSi2
1.0
3.712 0.000 0.000
0.000 2.097 5.170
0.000 -2.097 5.170
Pu Sc Si
1 1 2
Direct
0.000 0.000 0.000 Pu
0.500 0.719 0.719 Sc
0.000 0.279 0.279 Si
0.500 0.431 0.431 Si
```